Below is a relaxed structure of CeTm4Sc2, with properties calculated at the PBE level.

For the volume, the calculation gives 32.6 Å³ per atom. For the formation energy, the calculation gives 4.9 eV/f.u. The value obtained for the magnetization is 0.00 Bohr magnetons per cell. As for the total energy: -4.51 eV per atom.

Cell and atoms, written as CIF:
```
data_CeTm4Sc2
_chemical_formula_sum 'Ce1 Tm4 Sc2'
_cell_length_a 5.381
_cell_length_b 5.381
_cell_length_c 8.753
_cell_angle_alpha 107.90
_cell_angle_beta 107.90
_cell_angle_gamma 90.00
_space_group_name_H-M_alt 'P 1'
_space_group_IT_number 1
loop_
_space_group_symop_operation_xyz
'x,y,z'
loop_
_atom_site_label
_atom_site_fract_x
_atom_site_fract_y
_atom_site_fract_z
_atom_site_occupancy
Ce1 0.000 0.000 0.000 1
Tm1 0.818 0.818 0.637 1
Tm2 0.182 0.182 0.363 1
Tm3 0.000 0.500 0.000 1
Tm4 0.500 0.000 0.000 1
Sc1 0.390 0.390 0.779 1
Sc2 0.610 0.610 0.221 1
```

Below is a relaxed structure of Tb3Sm2TmSb6, with properties calculated at the PBE level.

For the volume, the calculation gives 30.4 Å³ per atom. The value obtained for the magnetization is 0.00 Bohr magnetons per cell. As for the total energy: -5.52 eV per atom. For the uncorrected formation energy, the calculation gives -1142 meV per atom.

Cell and atoms, written as CIF:
```
data_Tb3Sm2TmSb6
_chemical_formula_sum 'Tb3 Sm2 Tm1 Sb6'
_cell_length_a 4.415
_cell_length_b 8.828
_cell_length_c 9.870
_cell_angle_alpha 102.90
_cell_angle_beta 102.93
_cell_angle_gamma 90.00
_space_group_name_H-M_alt 'P 1'
_space_group_IT_number 1
loop_
_space_group_symop_operation_xyz
'x,y,z'
loop_
_atom_site_label
_atom_site_fract_x
_atom_site_fract_y
_atom_site_fract_z
_atom_site_occupancy
Tb1 0.500 0.500 0.000 1
Tb2 0.832 0.166 0.664 1
Tb3 0.168 0.834 0.336 1
Sm1 0.834 0.667 0.668 1
Sm2 0.166 0.333 0.332 1
Tm1 0.500 0.000 0.000 1
Sb1 0.335 0.921 0.670 1
Sb2 0.666 0.586 0.332 1
Sb3 0.665 0.079 0.330 1
Sb4 0.998 0.246 0.997 1
Sb5 0.002 0.754 0.003 1
Sb6 0.334 0.414 0.668 1
```

Below is a relaxed structure of K2LiHgSb, with properties calculated at the PBE level.

For the volume, the calculation gives 48.0 Å³ per atom. The value obtained for the magnetization is 0.00 Bohr magnetons per cell. As for the total energy: -1.99 eV per atom. For the uncorrected formation energy, the calculation gives -286 meV per atom.

Cell and atoms, written as CIF:
```
data_K2LiHgSb
_chemical_formula_sum 'K2 Li1 Hg1 Sb1'
_cell_length_a 6.772
_cell_length_b 6.772
_cell_length_c 5.236
_cell_angle_alpha 90.00
_cell_angle_beta 90.00
_cell_angle_gamma 90.00
_space_group_name_H-M_alt 'P 1'
_space_group_IT_number 1
loop_
_space_group_symop_operation_xyz
'x,y,z'
loop_
_atom_site_label
_atom_site_fract_x
_atom_site_fract_y
_atom_site_fract_z
_atom_site_occupancy
Sb1 0.000 0.000 0.000 1
K1 0.000 0.500 0.000 1
K2 0.500 0.000 0.000 1
Hg1 0.500 0.500 0.500 1
Li1 0.000 0.000 0.500 1
```

Below is a relaxed structure of AcSmUO6, with properties calculated at the PBE level.

For the volume, the calculation gives 16.6 Å³ per atom. The value obtained for the magnetization is 0.00 Bohr magnetons per cell. As for the total energy: -8.77 eV per atom. For the uncorrected formation energy, the calculation gives -3234 meV per atom.

Cell and atoms, written as CIF:
```
data_AcSmUO6
_chemical_formula_sum 'Ac2 Sm2 U2 O12'
_cell_length_a 6.134
_cell_length_b 6.134
_cell_length_c 9.187
_cell_angle_alpha 90.00
_cell_angle_beta 90.00
_cell_angle_gamma 120.00
_space_group_name_H-M_alt 'P 1'
_space_group_IT_number 1
loop_
_space_group_symop_operation_xyz
'x,y,z'
loop_
_atom_site_label
_atom_site_fract_x
_atom_site_fract_y
_atom_site_fract_z
_atom_site_occupancy
Ac1 0.333 0.667 0.250 1
Ac2 0.667 0.333 0.750 1
Sm1 0.000 0.000 0.000 1
Sm2 0.000 0.000 0.500 1
U1 0.667 0.333 0.250 1
U2 0.333 0.667 0.750 1
O1 0.685 0.635 0.130 1
O2 0.950 0.315 0.130 1
O3 0.315 0.950 0.630 1
O4 0.050 0.685 0.870 1
O5 0.365 0.315 0.370 1
O6 0.950 0.635 0.370 1
O7 0.635 0.950 0.870 1
O8 0.685 0.050 0.370 1
O9 0.050 0.365 0.630 1
O10 0.365 0.050 0.130 1
O11 0.635 0.685 0.630 1
O12 0.315 0.365 0.870 1
```

Below is a relaxed structure of Cr5As, with properties calculated at the PBE level.

For the volume, the calculation gives 13.1 Å³ per atom. For the formation energy, the calculation gives 2.8 eV/f.u. The value obtained for the magnetization is 0.00 Bohr magnetons per cell. As for the total energy: -8.32 eV per atom.

Cell and atoms, written as CIF:
```
data_Cr5As
_chemical_formula_sum 'Cr5 As1'
_cell_length_a 4.544
_cell_length_b 4.544
_cell_length_c 4.404
_cell_angle_alpha 90.00
_cell_angle_beta 90.00
_cell_angle_gamma 120.00
_space_group_name_H-M_alt 'P 1'
_space_group_IT_number 1
loop_
_space_group_symop_operation_xyz
'x,y,z'
loop_
_atom_site_label
_atom_site_fract_x
_atom_site_fract_y
_atom_site_fract_z
_atom_site_occupancy
Cr1 0.333 0.667 0.000 1
Cr2 0.667 0.333 0.000 1
Cr3 0.500 0.000 0.500 1
Cr4 0.000 0.500 0.500 1
Cr5 0.500 0.500 0.500 1
As1 0.000 0.000 0.000 1
```

Below is a relaxed structure of BaLaSn4, with properties calculated at the PBE level.

For the volume, the calculation gives 30.9 Å³ per atom. For the formation energy, the calculation gives -2.8 eV/f.u. The value obtained for the magnetization is 0.00 Bohr magnetons per cell. As for the total energy: -4.28 eV per atom.

Cell and atoms, written as CIF:
```
data_BaLaSn4
_chemical_formula_sum 'Ba1 La1 Sn4'
_cell_length_a 6.402
_cell_length_b 6.402
_cell_length_c 6.402
_cell_angle_alpha 60.00
_cell_angle_beta 60.00
_cell_angle_gamma 60.00
_space_group_name_H-M_alt 'P 1'
_space_group_IT_number 1
loop_
_space_group_symop_operation_xyz
'x,y,z'
loop_
_atom_site_label
_atom_site_fract_x
_atom_site_fract_y
_atom_site_fract_z
_atom_site_occupancy
Ba1 0.000 0.000 0.000 1
Sn1 0.624 0.624 0.129 1
Sn2 0.624 0.129 0.624 1
Sn3 0.624 0.624 0.624 1
Sn4 0.129 0.624 0.624 1
La1 0.250 0.250 0.250 1
```

Below is a relaxed structure of MgCuPb2, with properties calculated at the PBE level.

For the volume, the calculation gives 24.8 Å³ per atom. For the formation energy, the calculation gives 1.0 eV/f.u. The value obtained for the magnetization is 0.00 Bohr magnetons per cell. As for the total energy: -3.03 eV per atom.

Cell and atoms, written as CIF:
```
data_MgCuPb2
_chemical_formula_sum 'Mg1 Cu1 Pb2'
_cell_length_a 5.196
_cell_length_b 5.196
_cell_length_c 5.196
_cell_angle_alpha 60.00
_cell_angle_beta 60.00
_cell_angle_gamma 60.00
_space_group_name_H-M_alt 'P 1'
_space_group_IT_number 1
loop_
_space_group_symop_operation_xyz
'x,y,z'
loop_
_atom_site_label
_atom_site_fract_x
_atom_site_fract_y
_atom_site_fract_z
_atom_site_occupancy
Cu1 0.500 0.500 0.500 1
Mg1 0.750 0.750 0.750 1
Pb1 0.000 0.000 0.000 1
Pb2 0.250 0.250 0.250 1
```

Below is a relaxed structure of MnSiH3, with properties calculated at the PBE level.

For the volume, the calculation gives 8.7 Å³ per atom. The value obtained for the magnetization is 4.04 Bohr magnetons per cell. As for the total energy: -4.23 eV per atom.

Cell and atoms, written as CIF:
```
data_MnSiH3
_chemical_formula_sum 'Mn1 Si1 H3'
_cell_length_a 3.521
_cell_length_b 3.521
_cell_length_c 3.521
_cell_angle_alpha 90.00
_cell_angle_beta 90.00
_cell_angle_gamma 90.00
_space_group_name_H-M_alt 'P 1'
_space_group_IT_number 1
loop_
_space_group_symop_operation_xyz
'x,y,z'
loop_
_atom_site_label
_atom_site_fract_x
_atom_site_fract_y
_atom_site_fract_z
_atom_site_occupancy
H1 0.000 0.500 0.000 1
H2 0.000 0.000 0.500 1
H3 0.500 0.000 0.000 1
Si1 0.000 0.000 0.000 1
Mn1 0.500 0.500 0.500 1
```

Below is a relaxed structure of SiTe, with properties calculated at the PBE level.

For the volume, the calculation gives 24.5 Å³ per atom. The value obtained for the magnetization is 0.00 Bohr magnetons per cell. As for the total energy: -3.68 eV per atom. For the uncorrected formation energy, the calculation gives 601 meV per atom.

Cell and atoms, written as CIF:
```
data_SiTe
_chemical_formula_sum 'Si2 Te2'
_cell_length_a 6.663
_cell_length_b 6.663
_cell_length_c 6.663
_cell_angle_alpha 144.75
_cell_angle_beta 144.75
_cell_angle_gamma 50.71
_space_group_name_H-M_alt 'P 1'
_space_group_IT_number 1
loop_
_space_group_symop_operation_xyz
'x,y,z'
loop_
_atom_site_label
_atom_site_fract_x
_atom_site_fract_y
_atom_site_fract_z
_atom_site_occupancy
Si1 0.000 0.000 0.000 1
Si2 0.250 0.750 0.500 1
Te1 0.500 0.500 0.000 1
Te2 0.750 0.250 0.500 1
```

Below is a relaxed structure of Li2NiRu, with properties calculated at the PBE level.

For the volume, the calculation gives 12.6 Å³ per atom. For the formation energy, the calculation gives 0.3 eV/f.u. The value obtained for the magnetization is 0.48 Bohr magnetons per cell. As for the total energy: -4.65 eV per atom.

Cell and atoms, written as CIF:
```
data_Li2NiRu
_chemical_formula_sum 'Li2 Ni1 Ru1'
_cell_length_a 4.428
_cell_length_b 2.509
_cell_length_c 4.531
_cell_angle_alpha 87.18
_cell_angle_beta 90.00
_cell_angle_gamma 90.00
_space_group_name_H-M_alt 'P 1'
_space_group_IT_number 1
loop_
_space_group_symop_operation_xyz
'x,y,z'
loop_
_atom_site_label
_atom_site_fract_x
_atom_site_fract_y
_atom_site_fract_z
_atom_site_occupancy
Ru1 0.500 0.750 0.750 1
Li1 0.000 0.042 0.998 1
Li2 0.000 0.458 0.502 1
Ni1 0.500 0.250 0.250 1
```

Below is a relaxed structure of Mo2IrOs, with properties calculated at the PBE level.

For the volume, the calculation gives 15.1 Å³ per atom. For the formation energy, the calculation gives -0.5 eV/f.u. The value obtained for the magnetization is 0.00 Bohr magnetons per cell. As for the total energy: -10.55 eV per atom.

Cell and atoms, written as CIF:
```
data_Mo2IrOs
_chemical_formula_sum 'Mo2 Ir1 Os1'
_cell_length_a 2.780
_cell_length_b 2.780
_cell_length_c 7.802
_cell_angle_alpha 90.00
_cell_angle_beta 90.00
_cell_angle_gamma 90.00
_space_group_name_H-M_alt 'P 1'
_space_group_IT_number 1
loop_
_space_group_symop_operation_xyz
'x,y,z'
loop_
_atom_site_label
_atom_site_fract_x
_atom_site_fract_y
_atom_site_fract_z
_atom_site_occupancy
Mo1 0.000 0.000 0.003 1
Mo2 0.000 0.000 0.497 1
Ir1 0.500 0.500 0.750 1
Os1 0.500 0.500 0.250 1
```

Below is a relaxed structure of CoBi3I, with properties calculated at the PBE level.

For the volume, the calculation gives 29.0 Å³ per atom. The value obtained for the magnetization is 0.62 Bohr magnetons per cell. As for the total energy: -3.71 eV per atom. For the uncorrected formation energy, the calculation gives 352 meV per atom.

Cell and atoms, written as CIF:
```
data_CoBi3I
_chemical_formula_sum 'Co1 Bi3 I1'
_cell_length_a 5.253
_cell_length_b 5.253
_cell_length_c 5.253
_cell_angle_alpha 90.00
_cell_angle_beta 90.00
_cell_angle_gamma 90.00
_space_group_name_H-M_alt 'P 1'
_space_group_IT_number 1
loop_
_space_group_symop_operation_xyz
'x,y,z'
loop_
_atom_site_label
_atom_site_fract_x
_atom_site_fract_y
_atom_site_fract_z
_atom_site_occupancy
I1 0.500 0.500 0.500 1
Co1 0.000 0.000 0.000 1
Bi1 0.000 0.500 0.000 1
Bi2 0.000 0.000 0.500 1
Bi3 0.500 0.000 0.000 1
```